! La2H4Pt | Alexandria | GGA-PBE | relaxed; values from VASP
! **Final energy**: -4.708 eV per atom
! **SG**: No. 139
&SYSTEM
  ibrav = 0, nat = 14, ntyp = 3
/
ATOMIC_SPECIES
La 138.91 La.upf
H 1.01 H.upf
Pt 195.08 Pt.upf
ATOMIC_POSITIONS crystal
La 0.0000 0.0000 0.1452
La 0.0000 0.0000 0.8548
La 0.5000 0.5000 0.3548
La 0.5000 0.5000 0.6452
H 0.0000 0.0000 0.3100
H 0.0000 0.0000 0.6900
H 0.0000 0.5000 0.0000
H 0.0000 0.5000 0.5000
H 0.5000 0.0000 0.0000
H 0.5000 0.0000 0.5000
H 0.5000 0.5000 0.1900
H 0.5000 0.5000 0.8100
Pt 0.0000 0.0000 0.5000
Pt 0.5000 0.5000 0.0000
CELL_PARAMETERS angstrom
3.5973 0.0000 0.0000
0.0000 3.5973 0.0000
0.0000 0.0000 14.7158